Entry 1:
DFT (PBE) results for crystalline Pm3Y6Er2Tm at its relaxed geometry.

Properties
The value obtained for the total magnetization is 0.0 Bohr magnetons per cell. As for the density of states at the Fermi level: 1.454 states/eV/atom. Its electronic total energy is -5.531 eV per atom. The space-group type is C2/m, No. 12. As for the volume: 387.0 Å³/f.u. The value obtained for the formation enthalpy at 0 K is 0.021 eV/atom.

Cell and atoms, written as POSCAR:
```
Pm3Y6Er2Tm
1.0
6.193 0.001 0.001
-3.094 5.365 0.001
-1.032 -1.787 11.645
Y Er Tm Pm
6 2 1 3
Cartesian
0.001 0.001 8.777
2.066 3.578 2.871
3.098 1.791 8.780
0.004 3.579 8.780
-1.031 1.787 2.868
2.063 0.000 2.868
0.002 3.577 0.001
3.097 1.790 0.001
0.000 0.000 0.000
1.033 1.789 5.824
-2.062 3.577 5.824
4.129 0.002 5.824
```


Entry 2:
DFT (PBE) results for crystalline ZrRe2Cl at its relaxed geometry.

Properties
The value obtained for the total magnetization is 0.0 Bohr magnetons per cell. As for the distance to the lowest polymorph of the same formula: 1087 meV per atom. As for the density of states at the Fermi level: 0.860 states/eV/atom. Its electronic total energy is -7.860 eV per atom. The space-group type is P4/mmm, No. 123. As for the volume: 67.3 Å³/f.u.

Cell and atoms, written as POSCAR:
```
ZrRe2Cl
1.0
-0.954 3.256 -3.081
-0.965 -3.225 -3.109
-3.063 0.001 0.950
Re Zr Cl
2 1 1
Cartesian
0.000 0.000 0.000
-0.960 0.015 -3.095
-2.008 1.628 -1.066
-2.014 -1.612 -1.080
```


Entry 3:
DFT (PBE) results for crystalline Ho5TmAl3 at its relaxed geometry.

Properties
The value obtained for the total magnetization is 0.0 Bohr magnetons per cell. As for the density of states at the Fermi level: 0.951 states/eV/atom. Its electronic total energy is -4.564 eV per atom. The space-group type is P6_3/mcm, No. 193. As for the volume: 232.1 Å³/f.u. The value obtained for the formation enthalpy at 0 K is -0.277 eV/atom.

Cell and atoms, written as POSCAR:
```
Ho5TmAl3
1.0
-6.354 0.491 -1.689
1.207 -6.272 -6.366
-2.405 -2.445 8.340
Ho Tm Al
10 2 6
Cartesian
-1.987 -2.778 0.235
-5.565 -5.448 0.051
-4.378 -3.475 2.594
-1.201 -3.721 3.438
-3.193 -1.508 5.142
-3.174 -4.751 -2.308
-4.364 -1.719 -3.384
-0.783 -4.062 -4.670
0.003 -4.996 -1.464
-4.359 -6.717 -4.857
-3.177 0.245 -0.844
0.000 0.000 0.000
-2.389 -0.691 2.355
-2.388 -5.692 0.895
-5.163 -7.534 -2.069
-5.164 -2.534 -0.609
-1.187 -1.966 -2.542
-3.960 -3.816 -5.513
```


Entry 4:
DFT (PBE) results for crystalline Pr5Pb2N at its relaxed geometry.

Properties
The value obtained for the total magnetization is 0.0 Bohr magnetons per cell. As for the density of states at the Fermi level: 0.925 states/eV/atom. Its electronic total energy is -5.200 eV per atom. The space-group type is Cmcm, No. 63. As for the volume: 279.4 Å³/f.u.

Cell and atoms, written as POSCAR:
```
Pr5Pb2N
1.0
-2.072 1.270 -4.022
-4.209 -7.584 2.519
-9.085 7.370 7.006
Pr N Pb
10 2 4
Cartesian
-13.356 1.568 4.630
-10.827 -0.483 2.680
-5.669 -0.652 -0.031
-9.697 1.708 5.534
-2.010 -0.512 0.874
-3.701 -3.615 0.765
-8.329 1.964 2.165
-7.037 -0.909 3.338
-4.539 1.539 2.824
-11.665 4.671 4.738
-4.107 -0.590 1.930
-11.259 1.646 3.574
-6.598 -4.036 -0.621
-8.614 -2.400 0.935
-6.752 3.456 4.569
-8.768 5.091 6.124
```


Entry 5:
DFT (PBE) results for crystalline Dy11Zn9Rh4 at its relaxed geometry.

Properties
The value obtained for the total magnetization is 0.0 Bohr magnetons per cell. As for the density of states at the Fermi level: 0.613 states/eV/atom. Its electronic total energy is -4.348 eV per atom. The space-group type is Cmmm, No. 65. As for the volume: 520.0 Å³/f.u. The value obtained for the formation enthalpy at 0 K is -0.536 eV/atom.

Cell and atoms, written as POSCAR:
```
Dy11Zn9Rh4
1.0
3.670 0.000 0.000
0.000 11.416 -4.785
0.000 0.086 12.377
Rh Dy Zn
4 11 9
Cartesian
1.835 5.134 1.078
1.835 6.368 6.515
1.835 3.009 4.297
1.835 8.493 3.296
0.000 3.251 2.146
0.000 4.227 6.105
0.000 0.913 4.765
0.000 4.741 -1.033
0.000 10.589 2.827
0.000 7.275 1.488
0.000 2.017 9.453
0.000 6.761 8.626
0.000 0.000 0.000
0.000 9.485 -1.860
0.000 8.251 5.447
1.835 2.415 -0.287
1.835 9.086 7.880
1.835 10.817 5.259
1.835 0.685 2.334
1.835 4.300 8.655
1.835 7.202 -1.062
1.835 1.853 7.040
1.835 5.751 3.796
1.835 9.649 0.553
```


Entry 6:
DFT (PBE) results for crystalline YRe3Tc at its relaxed geometry.

Properties
The value obtained for the total magnetization is 0.0 Bohr magnetons per cell. As for the distance to the lowest polymorph of the same formula: 0 meV per atom. As for the density of states at the Fermi level: 0.848 states/eV/atom. Its electronic total energy is -9.502 eV per atom. The space-group type is Pm-3m, No. 221. As for the volume: 104.8 Å³/f.u. The value obtained for the formation enthalpy at 0 K is 1.333 eV/atom.

Cell and atoms, written as POSCAR:
```
YRe3Tc
1.0
-3.136 -3.418 0.848
3.118 -3.222 -1.460
1.638 -0.410 4.403
Tc Re Y
1 3 1
Cartesian
0.000 0.000 0.000
1.559 -1.611 -0.730
-1.568 -1.709 0.424
0.819 -0.205 2.201
0.810 -3.525 1.895
```


Entry 7:
DFT (PBE) results for crystalline ReTcBr2 at its relaxed geometry.

Properties
The value obtained for the total magnetization is 2.5 Bohr magnetons per cell. As for the distance to the lowest polymorph of the same formula: 1140 meV per atom. As for the density of states at the Fermi level: 1.089 states/eV/atom. Its electronic total energy is -5.203 eV per atom. The space-group type is C2/m, No. 12. As for the volume: 73.1 Å³/f.u.

Cell and atoms, written as POSCAR:
```
ReTcBr2
1.0
-4.042 -1.595 -3.326
3.572 -4.076 0.759
-1.501 -2.388 1.347
Br Re Tc
2 1 1
Cartesian
0.000 0.000 0.000
-0.235 -2.836 -1.284
-2.772 -1.992 -0.989
1.036 -3.232 1.053
```


Entry 8:
DFT (PBE) results for crystalline Dy3HfP4 at its relaxed geometry.

Properties
The value obtained for the total magnetization is 0.0 Bohr magnetons per cell. As for the density of states at the Fermi level: 0.178 states/eV/atom. Its electronic total energy is -7.209 eV per atom. The space-group type is Cmmm, No. 65. As for the volume: 170.2 Å³/f.u. The value obtained for the formation enthalpy at 0 K is -1.534 eV/atom.

Cell and atoms, written as POSCAR:
```
Dy3HfP4
1.0
-1.290 3.235 -1.784
-5.828 -3.144 -1.485
-0.591 3.083 6.017
Dy P Hf
3 4 1
Cartesian
-0.296 1.541 3.009
-3.855 1.587 1.374
-2.914 -1.572 -0.743
-4.901 -0.047 3.460
-1.518 -0.014 1.072
-2.507 3.189 3.305
-5.203 -0.016 -0.557
-0.645 1.617 -0.892
```


Entry 9:
DFT (PBE) results for crystalline HfReRuN2 at its relaxed geometry.

Properties
The value obtained for the total magnetization is 0.0 Bohr magnetons per cell. As for the distance to the lowest polymorph of the same formula: 0 meV per atom. As for the density of states at the Fermi level: 0.918 states/eV/atom. Its electronic total energy is -8.486 eV per atom. The space-group type is P4/mmm, No. 123. As for the volume: 77.1 Å³/f.u.

Cell and atoms, written as POSCAR:
```
HfReRuN2
1.0
-1.206 -1.165 -3.398
-0.358 -5.028 1.852
-3.583 0.643 1.052
N Ru Re Hf
2 1 1 1
Cartesian
-0.603 -0.583 -1.699
-1.791 0.321 0.526
0.000 0.000 0.000
-0.179 -2.514 0.926
-2.574 -2.776 -0.247
```


Entry 10:
DFT (PBE) results for crystalline CdHg3Pb4 at its relaxed geometry.

Properties
The value obtained for the total magnetization is 0.0 Bohr magnetons per cell. As for the density of states at the Fermi level: 0.415 states/eV/atom. Its electronic total energy is -2.053 eV per atom. The space-group type is Pmm2, No. 25. As for the volume: 226.2 Å³/f.u. The value obtained for the formation enthalpy at 0 K is 0.029 eV/atom.

Cell and atoms, written as POSCAR:
```
CdHg3Pb4
1.0
3.399 0.000 0.000
0.000 5.323 0.000
0.000 0.000 12.498
Pb Hg Cd
4 3 1
Cartesian
0.000 2.662 10.320
0.000 0.000 2.175
1.700 2.662 4.026
1.700 0.000 8.482
1.700 0.000 11.698
0.000 0.000 5.409
0.000 2.662 7.072
1.700 2.662 0.810
```


Entry 11:
DFT (PBE) results for crystalline Ce5AlGa4 at its relaxed geometry.

Properties
The value obtained for the total magnetization is 4.8 Bohr magnetons per cell. As for the density of states at the Fermi level: 2.205 states/eV/atom. Its electronic total energy is -4.953 eV per atom. The space-group type is P4/mmm, No. 123. As for the volume: 238.0 Å³/f.u. The value obtained for the formation enthalpy at 0 K is -0.401 eV/atom.

Cell and atoms, written as POSCAR:
```
Ce5AlGa4
1.0
-0.932 -2.983 -2.332
3.761 -0.450 -0.927
1.766 -9.914 11.976
Ce Ga Al
5 4 1
Cartesian
2.995 -10.590 9.089
1.945 -4.692 1.965
2.298 -6.674 4.358
1.600 -2.757 -0.373
2.651 -8.655 6.752
0.354 -1.986 2.399
1.412 -7.928 9.577
0.707 -3.968 4.794
1.059 -5.946 7.182
0.000 0.000 0.000
```


Entry 12:
DFT (PBE) results for crystalline LiHg3C at its relaxed geometry.

Properties
The value obtained for the total magnetization is 0.0 Bohr magnetons per cell. As for the distance to the lowest polymorph of the same formula: 0 meV per atom. As for the density of states at the Fermi level: 0.712 states/eV/atom. Its electronic total energy is -1.549 eV per atom. The space-group type is Pm-3m, No. 221. As for the volume: 112.9 Å³/f.u. The value obtained for the formation enthalpy at 0 K is 0.859 eV/atom.

Cell and atoms, written as POSCAR:
```
LiHg3C
1.0
-3.613 3.210 0.082
-0.591 -0.786 4.733
3.156 3.528 0.980
Li Hg C
1 3 1
Cartesian
-0.524 2.976 2.897
-0.295 -0.393 2.366
1.578 1.764 0.490
-1.807 1.605 0.041
0.000 0.000 0.000
```


Entry 13:
DFT (PBE) results for crystalline NbAs3Ir at its relaxed geometry.

Properties
The value obtained for the total magnetization is 0.0 Bohr magnetons per cell. As for the distance to the lowest polymorph of the same formula: 0 meV per atom. As for the density of states at the Fermi level: 1.697 states/eV/atom. Its electronic total energy is -5.663 eV per atom. The space-group type is Pm-3m, No. 221. As for the volume: 109.1 Å³/f.u. The value obtained for the formation enthalpy at 0 K is 0.913 eV/atom.

Cell and atoms, written as POSCAR:
```
NbAs3Ir
1.0
-0.672 1.434 -4.508
0.366 -4.524 -1.493
-4.716 -0.556 0.526
Ir As Nb
1 3 1
Cartesian
0.000 0.000 0.000
-0.336 0.717 -2.254
0.183 -2.262 -0.747
-2.358 -0.278 0.263
-2.511 -1.823 -2.737
```


Entry 14:
DFT (PBE) results for crystalline Li2TiCu2 at its relaxed geometry.

Properties
The value obtained for the total magnetization is 0.0 Bohr magnetons per cell. As for the distance to the lowest polymorph of the same formula: 0 meV per atom. As for the density of states at the Fermi level: 0.723 states/eV/atom. Its electronic total energy is -3.908 eV per atom. The space-group type is P4/mbm, No. 127. As for the volume: 66.8 Å³/f.u. The value obtained for the formation enthalpy at 0 K is 0.075 eV/atom.

Cell and atoms, written as POSCAR:
```
Li2TiCu2
1.0
7.216 0.000 0.000
0.000 7.216 0.000
0.000 0.000 2.564
Cu Ti Li
4 2 4
Cartesian
1.343 4.951 1.282
5.874 2.266 1.282
4.951 5.874 1.282
2.266 1.343 1.282
0.000 0.000 0.000
3.608 3.608 0.000
6.385 4.440 0.000
0.831 2.777 0.000
2.777 6.385 0.000
4.440 0.831 0.000
```


Entry 15:
DFT (PBE) results for crystalline MgIr5Rh8 at its relaxed geometry.

Properties
The value obtained for the total magnetization is 0.0 Bohr magnetons per cell. As for the density of states at the Fermi level: 1.492 states/eV/atom. Its electronic total energy is -7.184 eV per atom. The space-group type is I-4, No. 82. As for the volume: 219.8 Å³/f.u. The value obtained for the formation enthalpy at 0 K is 0.296 eV/atom.

Cell and atoms, written as POSCAR:
```
MgIr5Rh8
1.0
-5.320 -1.495 3.601
2.988 -5.222 -2.704
4.354 2.853 4.051
Rh Ir Mg
8 5 1
Cartesian
2.940 -3.042 3.642
0.802 -3.804 1.982
1.240 -0.002 2.959
4.560 -1.280 2.514
2.831 2.008 3.613
0.721 -1.466 0.747
-2.558 -2.643 2.442
-2.448 -5.229 1.896
-0.478 -0.267 5.500
-1.166 -3.359 0.449
0.157 -2.199 3.825
-2.743 -1.108 4.451
-1.201 -0.427 2.427
3.088 -2.864 0.898
```


Entry 16:
DFT (PBE) results for crystalline LiPrTh2S4 at its relaxed geometry.

Properties
The value obtained for the total magnetization is 0.0 Bohr magnetons per cell. As for the density of states at the Fermi level: 0.510 states/eV/atom. Its electronic total energy is -6.534 eV per atom. The space-group type is P2/m, No. 10. As for the volume: 183.4 Å³/f.u.

Cell and atoms, written as POSCAR:
```
LiPrTh2S4
1.0
-2.368 -3.047 1.019
0.514 -2.544 -6.412
5.155 -2.694 3.927
Pr Th Li S
1 2 1 4
Cartesian
0.000 0.000 0.000
2.834 -2.619 -1.242
1.393 -2.870 2.473
-0.927 -2.795 -2.697
4.050 -2.716 1.291
1.619 -2.521 -3.775
0.209 -2.848 -0.214
3.092 -5.436 -1.253
```


Entry 17:
DFT (PBE) results for crystalline GeRuN at its relaxed geometry.

Properties
The value obtained for the total magnetization is 0.0 Bohr magnetons per cell. As for the distance to the lowest polymorph of the same formula: 115 meV per atom. As for the density of states at the Fermi level: 0.557 states/eV/atom. Its electronic total energy is -7.185 eV per atom. The space-group type is Pm, No. 6. As for the volume: 40.3 Å³/f.u.

Cell and atoms, written as POSCAR:
```
GeRuN
1.0
-2.577 3.590 2.735
-1.075 -2.090 1.730
4.230 0.455 3.179
N Ru Ge
2 2 2
Cartesian
1.004 -0.568 2.400
1.390 2.158 5.933
2.398 -0.232 3.673
0.681 1.477 2.208
-1.219 1.733 3.797
2.266 2.240 4.116
```


Entry 18:
DFT (PBE) results for crystalline Sr8Hg3Au2 at its relaxed geometry.

Properties
The value obtained for the total magnetization is 0.0 Bohr magnetons per cell. As for the density of states at the Fermi level: 0.836 states/eV/atom. Its electronic total energy is -2.065 eV per atom. The space-group type is P2/m, No. 10. As for the volume: 482.8 Å³/f.u. The value obtained for the formation enthalpy at 0 K is -0.457 eV/atom.

Cell and atoms, written as POSCAR:
```
Sr8Hg3Au2
1.0
5.510 0.000 0.000
0.000 9.581 -5.486
0.000 -0.824 9.619
Sr Hg Au
8 3 2
Cartesian
2.755 8.208 -2.372
0.000 5.797 -0.991
2.755 0.548 6.505
2.755 5.369 3.745
2.755 3.388 0.388
0.000 2.959 5.124
5.510 1.007 1.749
0.000 7.749 2.384
2.755 0.000 0.000
0.000 7.137 -4.086
0.000 1.619 8.219
2.755 6.737 0.636
2.755 2.019 3.497
```


Entry 19:
DFT (PBE) results for crystalline Y2MgPd6 at its relaxed geometry.

Properties
The value obtained for the total magnetization is 0.0 Bohr magnetons per cell. As for the density of states at the Fermi level: 0.416 states/eV/atom. Its electronic total energy is -5.589 eV per atom. The space-group type is C2/m, No. 12. As for the volume: 179.5 Å³/f.u. The value obtained for the formation enthalpy at 0 K is -0.513 eV/atom.

Cell and atoms, written as POSCAR:
```
Y2MgPd6
1.0
-2.786 -1.817 0.593
3.928 -4.223 5.515
-2.451 7.374 1.619
Pd Y Mg
6 2 1
Cartesian
1.531 -4.052 4.402
2.476 -1.887 5.908
-1.511 0.776 5.013
-0.389 -1.988 1.707
-3.785 3.221 1.820
0.202 0.558 2.714
-1.289 2.994 3.211
-0.020 -1.660 4.516
0.000 0.000 0.000
```


Entry 20:
DFT (PBE) results for crystalline SnPN at its relaxed geometry.

Properties
The value obtained for the total magnetization is 0.0 Bohr magnetons per cell. As for the density of states at the Fermi level: 0.261 states/eV/atom. Its electronic total energy is -5.754 eV per atom. The space-group type is P-1, No. 2. As for the volume: 62.8 Å³/f.u.

Cell and atoms, written as POSCAR:
```
SnPN
1.0
4.724 -0.697 0.136
1.551 4.507 -0.760
1.837 -2.808 6.103
P N Sn
2 2 2
Cartesian
5.736 0.777 3.409
2.376 0.225 2.069
2.815 1.190 0.818
5.297 -0.187 4.660
6.055 -2.100 5.371
2.057 3.102 0.107
```